Entry 1:
## NdMgTlTe3 (PBE-GGA)

Data for a relaxed structure of NdMgTlTe3.

Geometry as CIF:
```
data_NdMgTlTe3
_chemical_formula_sum 'Nd4 Mg4 Tl4 Te12'
_symmetry_space_group_name_H-M 'P n m a'
_symmetry_Int_Tables_number 62
_cell_length_a 12.067
_cell_length_b 4.550
_cell_length_c 15.468
_cell_angle_alpha 90.00
_cell_angle_beta 90.00
_cell_angle_gamma 90.00
loop_
_symmetry_equiv_pos_as_xyz
'x,y,z'
'-x,-y,-z'
'-x+1/2,-y,z+1/2'
'x+1/2,y,-z+1/2'
'x+1/2,-y+1/2,-z+1/2'
'-x+1/2,y+1/2,z+1/2'
'-x,y+1/2,-z'
'x,-y+1/2,z'
loop_
_atom_site_label
_atom_site_fract_x
_atom_site_fract_y
_atom_site_fract_z
_atom_site_occupancy
Nd1 0.013 0.250 0.246 1
Mg1 0.238 0.250 0.718 1
Tl1 0.229 0.750 0.509 1
Te1 0.047 0.250 0.617 1
Te2 0.077 0.750 0.111 1
Te3 0.239 0.750 0.828 1
```

Computed properties:
magnetization	0.0	Bohr magnetons per cell
calculated total energy	-3.99	eV/atom
crystal system	orthorhombic

---

Entry 2:
## NdMgTlTe3 (PBE-GGA)

Data for a relaxed structure of NdMgTlTe3.

Geometry as CIF:
```
data_NdMgTlTe3
_chemical_formula_sum 'Nd4 Mg4 Tl4 Te12'
_symmetry_space_group_name_H-M 'C m c m'
_symmetry_Int_Tables_number 63
_symmetry_space_group_name_Hall '-C 2c 2'
_cell_length_a 4.549
_cell_length_b 15.463
_cell_length_c 12.059
_cell_angle_alpha 90.00
_cell_angle_beta 90.00
_cell_angle_gamma 90.00
loop_
_atom_site_label
_atom_site_fract_x
_atom_site_fract_y
_atom_site_fract_z
_atom_site_occupancy
Nd1 0.000 0.000 0.000 1
Mg1 0.000 0.466 0.250 1
Tl1 0.000 0.241 0.750 1
Te1 0.000 0.076 0.250 1
Te2 0.000 0.363 0.061 1
```

Computed properties:
magnetization	0.0	Bohr magnetons per cell
calculated total energy	-3.98	eV/atom
crystal system	orthorhombic

---

Entry 3:
## NdThMg (PBE-GGA)

Data for a relaxed structure of NdThMg.

Geometry as CIF:
```
data_NdThMg
_chemical_formula_sum 'Nd3 Th3 Mg3'
_symmetry_space_group_name_H-M 'P 3 m 1'
_symmetry_Int_Tables_number 156
_cell_length_a 5.5693
_cell_length_b 5.5693
_cell_length_c 10.2261
_cell_angle_alpha 90.00
_cell_angle_beta 90.00
_cell_angle_gamma 120.00
loop_
_symmetry_equiv_pos_as_xyz
'x,y,z'
'-y,x-y,z'
'-x+y,-x,z'
'-y,-x,z'
'-x+y,y,z'
'x,x-y,z'
loop_
_atom_site_label
_atom_site_fract_x
_atom_site_fract_y
_atom_site_fract_z
_atom_site_occupancy
Nd1 0.0000 0.0000 0.0000 1
Nd2 0.0000 0.0000 0.3314 1
Nd3 0.0000 0.0000 0.6680 1
Th1 0.3333 0.6667 0.5334 1
Th2 0.3333 0.6667 0.8614 1
Th3 0.6667 0.3333 0.0857 1
Mg1 0.3333 0.6667 0.1972 1
Mg2 0.6667 0.3333 0.4347 1
Mg3 0.6667 0.3333 0.7453 1
```

Computed properties:
magnetization	0.1	Bohr magnetons per cell
energy above the lowest structure with this stoichiometry	0.0	kJ/mol of atoms
crystal system	trigonal

---

Entry 4:
## NdThMg (PBE-GGA)

Data for a relaxed structure of NdThMg.

Geometry as CIF:
```
data_NdThMg
_chemical_formula_sum 'Nd4 Th4 Mg4'
_symmetry_space_group_name_H-M 'F -4 3 m'
_symmetry_Int_Tables_number 216
_symmetry_space_group_name_Hall 'F -4 2 3'
_cell_length_a 7.462
_cell_length_b 7.462
_cell_length_c 7.462
_cell_angle_alpha 90.00
_cell_angle_beta 90.00
_cell_angle_gamma 90.00
loop_
_atom_site_label
_atom_site_fract_x
_atom_site_fract_y
_atom_site_fract_z
_atom_site_occupancy
Nd1 0.000 0.000 0.000 1
Th1 0.000 0.000 0.500 1
Mg1 0.250 0.250 0.250 1
```

Computed properties:
magnetization	0.0	Bohr magnetons per cell
energy above the lowest structure with this stoichiometry	38.3	kJ/mol of atoms
crystal system	cubic

---

Entry 5:
## NdMgTl (PBE-GGA)

Data for a relaxed structure of NdMgTl.

Geometry as CIF:
```
data_NdMgTl
_chemical_formula_sum 'Nd4 Mg4 Tl4'
_symmetry_space_group_name_H-M 'F -4 3 m'
_symmetry_Int_Tables_number 216
_symmetry_space_group_name_Hall 'F -4 2 3'
_cell_length_a 7.153
_cell_length_b 7.153
_cell_length_c 7.153
_cell_angle_alpha 90.00
_cell_angle_beta 90.00
_cell_angle_gamma 90.00
loop_
_atom_site_label
_atom_site_fract_x
_atom_site_fract_y
_atom_site_fract_z
_atom_site_occupancy
Nd1 0.000 0.000 0.000 1
Mg1 0.000 0.000 0.500 1
Tl1 0.250 0.250 0.750 1
```

Computed properties:
magnetization	0.0	Bohr magnetons per cell
calculated total energy	-3.11	eV/atom
crystal system	cubic

---

Entry 6:
## NdMgTl (PBE-GGA)

Data for a relaxed structure of NdMgTl.

Geometry as CIF:
```
data_NdMgTl
_chemical_formula_sum 'Nd3 Mg3 Tl3'
_symmetry_space_group_name_H-M 'P -6 2 m'
_symmetry_Int_Tables_number 189
_symmetry_space_group_name_Hall 'P -6 -2'
_cell_length_a 7.7163
_cell_length_b 7.7163
_cell_length_c 4.7576
_cell_angle_alpha 90.00
_cell_angle_beta 90.00
_cell_angle_gamma 120.00
loop_
_atom_site_label
_atom_site_fract_x
_atom_site_fract_y
_atom_site_fract_z
_atom_site_occupancy
Nd1 0.0000 0.5728 0.0000 1
Mg1 0.0000 0.2423 0.5000 1
Tl1 0.0000 0.0000 0.0000 1
Tl2 0.3333 0.6667 0.5000 1
```

Computed properties:
magnetization	0.0	Bohr magnetons per cell
calculated total energy	-3.25	eV/atom
crystal system	hexagonal

---

Entry 7:
## Nd2TmMg4Tl2 (PBE-GGA)

Data for a relaxed structure of Nd2TmMg4Tl2.

Geometry as CIF:
```
data_Nd2TmMg4Tl2
_chemical_formula_sum 'Nd4 Tm2 Mg8 Tl4'
_symmetry_space_group_name_H-M 'A m m 2'
_symmetry_Int_Tables_number 38
_cell_length_a 4.725
_cell_length_b 13.122
_cell_length_c 7.740
_cell_angle_alpha 90.00
_cell_angle_beta 90.00
_cell_angle_gamma 90.00
loop_
_symmetry_equiv_pos_as_xyz
'x,y,z'
'-x,-y,z'
'-x,y,z'
'x,-y,z'
'x,y+1/2,z+1/2'
'-x,-y+1/2,z+1/2'
'-x,y+1/2,z+1/2'
'x,-y+1/2,z+1/2'
loop_
_atom_site_label
_atom_site_fract_x
_atom_site_fract_y
_atom_site_fract_z
_atom_site_occupancy
Nd1 0.000 0.215 0.000 1
Tm1 0.000 0.000 0.651 1
Mg1 0.000 0.000 0.228 1
Mg2 0.500 0.000 0.978 1
Mg3 0.500 0.122 0.339 1
Tl1 0.500 0.163 0.714 1
```

Computed properties:
magnetization	0.0	Bohr magnetons per cell
calculated total energy	-3.02	eV/atom
crystal system	orthorhombic

---

Entry 8:
## NdTm2Mg4Tl2 (PBE-GGA)

Data for a relaxed structure of NdTm2Mg4Tl2.

Geometry as CIF:
```
data_NdTm2Mg4Tl2
_chemical_formula_sum 'Nd2 Tm4 Mg8 Tl4'
_symmetry_space_group_name_H-M 'A m m 2'
_symmetry_Int_Tables_number 38
_cell_length_a 4.672
_cell_length_b 13.273
_cell_length_c 7.506
_cell_angle_alpha 90.00
_cell_angle_beta 90.00
_cell_angle_gamma 90.00
loop_
_symmetry_equiv_pos_as_xyz
'x,y,z'
'-x,-y,z'
'-x,y,z'
'x,-y,z'
'x,y+1/2,z+1/2'
'-x,-y+1/2,z+1/2'
'-x,y+1/2,z+1/2'
'x,-y+1/2,z+1/2'
loop_
_atom_site_label
_atom_site_fract_x
_atom_site_fract_y
_atom_site_fract_z
_atom_site_occupancy
Nd1 0.000 0.000 0.000 1
Tm1 0.000 0.219 0.649 1
Mg1 0.000 0.000 0.443 1
Mg2 0.500 0.000 0.677 1
Mg3 0.500 0.121 0.313 1
Tl1 0.500 0.171 0.930 1
```

Computed properties:
magnetization	0.0	Bohr magnetons per cell
calculated total energy	-2.96	eV/atom
crystal system	orthorhombic

---

Entry 9:
## Nd2TmMg3Tl2Zn (PBE-GGA)

Data for a relaxed structure of Nd2TmMg3Tl2Zn.

Geometry as CIF:
```
data_Nd2TmMg3Tl2Zn
_chemical_formula_sum 'Nd4 Tm2 Mg6 Tl4 Zn2'
_symmetry_space_group_name_H-M 'A m m 2'
_symmetry_Int_Tables_number 38
_cell_length_a 4.645
_cell_length_b 12.949
_cell_length_c 7.657
_cell_angle_alpha 90.00
_cell_angle_beta 90.00
_cell_angle_gamma 90.00
loop_
_symmetry_equiv_pos_as_xyz
'x,y,z'
'-x,-y,z'
'-x,y,z'
'x,-y,z'
'x,y+1/2,z+1/2'
'-x,-y+1/2,z+1/2'
'-x,y+1/2,z+1/2'
'x,-y+1/2,z+1/2'
loop_
_atom_site_label
_atom_site_fract_x
_atom_site_fract_y
_atom_site_fract_z
_atom_site_occupancy
Nd1 0.000 0.206 0.000 1
Tm1 0.000 0.000 0.617 1
Mg1 0.500 0.000 0.976 1
Mg2 0.500 0.118 0.327 1
Tl1 0.500 0.162 0.705 1
Zn1 0.000 0.000 0.219 1
```

Computed properties:
magnetization	0.0	Bohr magnetons per cell
calculated total energy	-3.06	eV/atom
crystal system	orthorhombic

---

Entry 10:
## NdY2Mg4Tl2 (PBE-GGA)

Data for a relaxed structure of NdY2Mg4Tl2.

Geometry as CIF:
```
data_NdY2Mg4Tl2
_chemical_formula_sum 'Nd2 Y4 Mg8 Tl4'
_symmetry_space_group_name_H-M 'A m m 2'
_symmetry_Int_Tables_number 38
_cell_length_a 4.685
_cell_length_b 13.326
_cell_length_c 7.581
_cell_angle_alpha 90.00
_cell_angle_beta 90.00
_cell_angle_gamma 90.00
loop_
_symmetry_equiv_pos_as_xyz
'x,y,z'
'-x,-y,z'
'-x,y,z'
'x,-y,z'
'x,y+1/2,z+1/2'
'-x,-y+1/2,z+1/2'
'-x,y+1/2,z+1/2'
'x,-y+1/2,z+1/2'
loop_
_atom_site_label
_atom_site_fract_x
_atom_site_fract_y
_atom_site_fract_z
_atom_site_occupancy
Nd1 0.000 0.000 0.000 1
Y1 0.000 0.217 0.646 1
Mg1 0.000 0.000 0.438 1
Mg2 0.500 0.000 0.675 1
Mg3 0.500 0.121 0.311 1
Tl1 0.500 0.169 0.929 1
```

Computed properties:
magnetization	0.0	Bohr magnetons per cell
calculated total energy	-3.45	eV/atom
crystal system	orthorhombic